Record 1
Material: PmHgRhAu
Method: DFT, PBE
State: optimized geometry

Cell and atoms, written as POSCAR:
```
PmHgRhAu
1.0
4.908 0.000 0.000
2.454 4.251 0.000
2.454 1.417 4.008
Hg Au Rh Pm
1 1 1 1
Direct
0.250 0.250 0.250
0.000 0.000 0.000
0.500 0.500 0.500
0.750 0.750 0.750
```

Summary:
energy relative to the elements = -41 kJ/mol of atoms
DOS at the Fermi energy = 2.20 states/eV/cell
DFT total energy = -17.38 eV for the cell shown

Record 2
Material: Tb5Ho7
Method: DFT, PBE
State: optimized geometry

Cell and atoms, written as POSCAR:
```
Tb5Ho7
1.0
-0.451 2.026 -2.873
4.351 -5.163 -6.509
-8.530 -6.459 -5.402
Ho Tb
7 5
Direct
0.972 0.305 0.750
0.639 0.972 0.750
0.334 0.334 0.999
0.500 0.500 0.500
0.361 0.028 0.250
0.028 0.695 0.250
0.666 0.666 0.001
0.694 0.361 0.250
0.000 0.000 0.000
0.834 0.833 0.500
0.306 0.639 0.750
0.166 0.167 0.500
```

Summary:
energy relative to the elements = 0 kJ/mol of atoms
DOS at the Fermi energy = 16.55 states/eV/cell
energy above the lowest structure with this stoichiometry = 0.00 eV/f.u.
DFT total energy = -55.16 eV for the cell shown

Record 3
Material: Cs3In2Bi5
Method: DFT, PBE
State: optimized geometry

Cell and atoms, written as POSCAR:
```
Cs3In2Bi5
1.0
-3.318 -4.845 6.297
6.091 -9.549 1.749
7.101 -0.879 8.953
Cs Bi In
6 10 4
Direct
0.863 0.879 0.396
0.637 0.604 0.121
0.137 0.121 0.604
0.250 0.000 0.000
0.750 0.000 0.000
0.363 0.396 0.879
0.878 0.508 0.736
0.378 0.736 0.508
0.250 0.500 0.500
0.508 0.742 0.742
0.750 0.500 0.500
0.622 0.264 0.492
0.008 0.742 0.742
0.492 0.258 0.258
0.992 0.258 0.258
0.122 0.492 0.264
0.654 0.954 0.738
0.346 0.046 0.262
0.154 0.738 0.954
0.846 0.262 0.046
```

Summary:
energy relative to the elements = -15 kJ/mol of atoms
DOS at the Fermi energy = 8.06 states/eV/cell
DFT total energy = -58.09 eV for the cell shown

Record 4
Material: CsNaZr2Cd
Method: DFT, PBE
State: optimized geometry

Cell and atoms, written as POSCAR:
```
CsNaZr2Cd
1.0
-4.010 2.462 2.561
1.929 -2.416 5.343
3.133 4.271 0.800
Na Cs Zr Cd
1 1 2 1
Direct
0.500 0.500 0.500
0.000 0.000 0.000
0.500 0.000 0.000
0.000 0.000 0.500
0.000 0.500 0.000
```

Summary:
energy relative to the elements = 168 kJ/mol of atoms
DOS at the Fermi energy = 6.67 states/eV/cell
DFT total energy = -11.49 eV for the cell shown

Record 5
Material: Ba2InPtO6
Method: DFT, PBE
State: optimized geometry

Cell and atoms, written as POSCAR:
```
Ba2InPtO6
1.0
5.952 0.000 0.000
2.976 5.155 0.000
2.976 1.718 10.060
O Ba In Pt
12 4 2 2
Direct
0.724 0.196 0.884
0.147 0.615 0.624
0.615 0.615 0.624
0.804 0.276 0.116
0.615 0.147 0.624
0.385 0.385 0.376
0.196 0.196 0.884
0.196 0.724 0.884
0.853 0.385 0.376
0.385 0.853 0.376
0.276 0.804 0.116
0.804 0.804 0.116
0.869 0.869 0.393
0.714 0.714 0.858
0.131 0.131 0.607
0.286 0.286 0.142
0.408 0.408 0.777
0.592 0.592 0.223
0.000 0.000 0.000
0.500 0.500 0.500
```

Summary:
DOS at the Fermi energy = 13.60 states/eV/cell
DFT total energy = -117.75 eV for the cell shown
uncorrected formation energy = -1.650 eV per atom

Record 6
Material: Li2TmHfSe4
Method: DFT, PBE
State: optimized geometry

Cell and atoms, written as POSCAR:
```
Li2TmHfSe4
1.0
-0.901 0.087 3.757
1.582 -6.529 0.530
5.625 3.760 1.262
Se Li Hf Tm
4 2 1 1
Direct
0.500 0.261 0.253
0.000 0.740 0.248
0.500 0.739 0.747
0.000 0.260 0.752
0.500 0.000 0.500
0.000 0.500 0.500
0.500 0.500 0.000
0.000 0.000 0.000
```

Summary:
DOS at the Fermi energy = 2.44 states/eV/cell
DFT total energy = -43.88 eV for the cell shown
uncorrected formation energy = -1.461 eV per atom

Record 7
Material: UAlVMo
Method: DFT, PBE
State: optimized geometry

Cell and atoms, written as POSCAR:
```
UAlVMo
1.0
4.543 0.000 0.000
2.272 3.935 0.000
2.272 1.312 3.710
U Al V Mo
1 1 1 1
Direct
0.000 0.000 0.000
0.500 0.500 0.500
0.750 0.750 0.750
0.250 0.250 0.250
```

Summary:
energy relative to the elements = 2 kJ/mol of atoms
DOS at the Fermi energy = 4.24 states/eV/cell
DFT total energy = -34.90 eV for the cell shown

Record 8
Material: CuTcSbTe2
Method: DFT, PBE
State: optimized geometry

Cell and atoms, written as POSCAR:
```
CuTcSbTe2
1.0
5.215 0.000 0.000
0.000 5.215 0.000
0.000 0.000 5.155
Sb Tc Cu Te
1 1 1 2
Direct
0.000 0.000 0.500
0.000 0.000 0.000
0.500 0.500 0.500
0.500 0.000 0.000
0.000 0.500 0.000
```

Summary:
DOS at the Fermi energy = 5.00 states/eV/cell
energy above the lowest structure with this stoichiometry = 0.00 eV/f.u.
DFT total energy = -20.95 eV for the cell shown
uncorrected formation energy = 0.783 eV per atom